1.
TlSi2Au: optimized geometry, PBEsol.

Its energy is -16.1 eV for the cell shown. As for the energy above the most stable polymorph in this dataset: 340.9 meV/atom.

Cell and atoms, written as extended XYZ:
```
4
Lattice="-4.163 -1.213 -0.237 1.122 -3.363 -2.506 1.995 0.025 4.621" Properties=species:S:1:pos:R:3 pbc="T T T"
Au 0.000 0.000 0.000
Si -1.844 -1.738 1.507
Si 0.799 -2.813 0.372
Tl -1.520 -2.288 -1.371
```

=====

2.
TiSb2RhI: optimized geometry, PBEsol.

Its energy is -24.4 eV for the cell shown.

Cell and atoms, written as extended XYZ:
```
5
Lattice="-2.920 3.638 -1.844 -2.029 -3.263 -3.224 -3.813 -1.219 3.634" Properties=species:S:1:pos:R:3 pbc="T T T"
I -1.907 -0.609 1.817
Sb -1.014 -1.632 -1.612
Sb -1.460 1.819 -0.922
Rh 0.000 0.000 0.000
Ti -4.381 -0.422 -0.717
```

=====

3.
YMnCd2: optimized geometry, PBEsol.

Its energy is -18.6 eV for the cell shown. The formation energy is 0.34 eV per formula unit.

Cell and atoms, written as extended XYZ:
```
4
Lattice="-1.699 -0.528 -4.548 1.722 -3.572 -2.851 -2.838 -3.814 -1.119" Properties=species:S:1:pos:R:3 pbc="T T T"
Cd 0.000 0.000 0.000
Cd -2.111 -5.936 -6.389
Mn -1.408 -3.957 -4.259
Y -0.704 -1.979 -2.130
```

=====

4.
PtAu3: optimized geometry, PBEsol.

Its energy is -18.6 eV for the cell shown. The formation energy is 0.17 eV per formula unit.

Cell and atoms, written as extended XYZ:
```
4
Lattice="2.803 0.000 0.000 0.000 4.897 0.000 -1.401 -2.449 4.789" Properties=species:S:1:pos:R:3 pbc="T T T"
Au 0.000 0.007 2.357
Au 0.000 3.247 0.000
Au 1.401 2.456 2.432
Pt 1.401 0.819 0.000
```

=====

5.
Ce3Se4: optimized geometry, PBEsol.

Its energy is -95.9 eV for the cell shown.

Cell and atoms, written as extended XYZ:
```
14
Lattice="-7.339 -1.848 -0.136 3.282 -2.224 -6.448 3.357 -3.430 5.853" Properties=species:S:1:pos:R:3 pbc="T T T"
Ce -0.516 -5.777 0.989
Ce -3.493 -4.467 3.465
Ce 3.135 -4.551 -2.018
Ce 1.162 -2.073 0.566
Ce 0.129 -2.789 -4.156
Ce -2.517 -2.846 -1.040
Se -1.485 -2.982 1.864
Se 3.837 -3.356 0.605
Se 1.437 -4.309 2.674
Se 2.159 -1.641 -2.321
Se -1.132 -0.285 -0.021
Se -4.802 -1.209 -0.089
Se -2.271 -4.629 -3.545
Se 0.156 -4.094 -1.360
```

=====

6.
LiIn2Hg: optimized geometry, PBEsol.

Its energy is -9.3 eV for the cell shown. The formation energy is -0.76 eV per formula unit.

Cell and atoms, written as extended XYZ:
```
4
Lattice="4.329 0.000 0.000 0.000 4.335 0.000 -2.165 -2.167 4.628" Properties=species:S:1:pos:R:3 pbc="T T T"
In 2.165 2.167 2.311
In 0.000 0.000 2.317
Hg 2.165 0.000 0.000
Li 0.000 2.167 0.000
```